1.
{
  "formula": "RbTlF6",
  "functional": "PBE-GGA",
  "state": "relaxed",
  "e_tot_ev_per_atom": -3.305,
  "space_group": "R-3m (166)",
  "e_form_raw_ev_per_atom": -1.485,
  "cell": [[4.020, 2.321, 2.622], [-4.020, 2.321, 2.622], [0.000, -4.642, 2.622]],
  "species": ["Rb", "Tl", "F", "F", "F", "F", "F", "F"],
  "fractional_positions": [[0.000, 0.000, 0.000], [0.500, 0.500, 0.500], [0.216, 0.216, 0.572], [0.216, 0.572, 0.216], [0.428, 0.784, 0.784], [0.572, 0.216, 0.216], [0.784, 0.428, 0.784], [0.784, 0.784, 0.428]]
}

=====

2.
{
  "formula": "Sc2NbSnPt",
  "functional": "PBE-GGA",
  "state": "relaxed",
  "e_tot_ev_per_atom": -5.708,
  "formation_enthalpy_0k_kj_per_mol_fu": 409,
  "space_group": "P4/mmm (123)",
  "cell": [[5.250, 0.000, 0.000], [0.000, 5.250, 0.000], [0.000, 0.000, 4.873]],
  "species": ["Sc", "Sc", "Nb", "Sn", "Pt"],
  "fractional_positions": [[0.000, 0.500, 0.000], [0.500, 0.000, 0.000], [0.000, 0.000, 0.500], [0.500, 0.500, 0.000], [0.500, 0.500, 0.500]]
}

=====

3.
{
  "formula": "B2C",
  "functional": "PBE-GGA",
  "state": "relaxed",
  "e_tot_ev_per_atom": -7.002,
  "formation_enthalpy_0k_kj_per_mol_fu": 152,
  "polymorph_energy_ev_per_fu": 1.02,
  "space_group": "P-1 (2)",
  "cell": [[4.659, 0.000, 0.000], [2.096, 4.649, 0.000], [1.822, 0.569, 4.898]],
  "species": ["B", "B", "B", "B", "B", "B", "B", "B", "C", "C", "C", "C"],
  "fractional_positions": [[0.091, 0.278, 0.207], [0.177, 0.557, 0.963], [0.341, 0.097, 0.403], [0.371, 0.444, 0.636], [0.629, 0.556, 0.364], [0.659, 0.903, 0.597], [0.823, 0.443, 0.037], [0.909, 0.722, 0.793], [0.042, 0.127, 0.952], [0.305, 0.143, 0.701], [0.695, 0.857, 0.299], [0.958, 0.873, 0.048]]
}

=====

4.
{
  "formula": "MgBi4O8",
  "functional": "PBE-GGA",
  "state": "relaxed",
  "e_tot_ev_per_atom": -5.613,
  "polymorph_energy_ev_per_fu": 0.40,
  "space_group": "Cm (8)",
  "e_form_raw_ev_per_atom": -1.245,
  "cell": [[6.754, -1.719, 0.000], [6.754, 1.719, 0.000], [-4.818, 0.000, 9.346]],
  "species": ["Mg", "Bi", "Bi", "Bi", "Bi", "O", "O", "O", "O", "O", "O", "O", "O"],
  "fractional_positions": [[0.000, 0.000, 0.000], [0.071, 0.071, 0.379], [0.325, 0.325, 0.080], [0.576, 0.576, 0.766], [0.817, 0.817, 0.664], [0.147, 0.147, 0.973], [0.258, 0.258, 0.511], [0.455, 0.455, 0.848], [0.500, 0.500, 0.137], [0.582, 0.582, 0.514], [0.823, 0.823, 0.943], [0.853, 0.853, 0.225], [0.969, 0.969, 0.641]]
}

=====

5.
{
  "formula": "Pm7HoEr2",
  "functional": "PBE-GGA",
  "state": "relaxed",
  "e_tot_ev_per_atom": -4.044,
  "formation_enthalpy_0k_kj_per_mol_fu": 629,
  "space_group": "Cmmm (65)",
  "cell": [[4.403, -8.261, 0.000], [4.403, 8.261, 0.000], [0.000, 0.000, 5.605]],
  "species": ["Pm", "Pm", "Pm", "Pm", "Pm", "Pm", "Pm", "Ho", "Er", "Er"],
  "fractional_positions": [[0.000, 0.000, 0.000], [0.209, 0.434, 0.000], [0.285, 0.715, 0.500], [0.434, 0.209, 0.000], [0.566, 0.791, 0.000], [0.715, 0.285, 0.500], [0.791, 0.566, 0.000], [0.500, 0.500, 0.500], [0.205, 0.795, 0.000], [0.795, 0.205, 0.000]]
}

=====

6.
{
  "formula": "Na2NpBi2O6",
  "functional": "PBE-GGA",
  "state": "relaxed",
  "e_tot_ev_per_atom": -6.583,
  "space_group": "C2/m (12)",
  "e_form_raw_ev_per_atom": -1.757,
  "cell": [[3.173, -5.257, 0.000], [3.173, 5.257, 0.000], [-1.925, 0.000, 5.715]],
  "species": ["Na", "Na", "Np", "Bi", "Bi", "O", "O", "O", "O", "O", "O"],
  "fractional_positions": [[0.171, 0.829, 0.000], [0.829, 0.171, 0.000], [0.000, 0.000, 0.500], [0.332, 0.668, 0.500], [0.668, 0.332, 0.500], [0.038, 0.389, 0.701], [0.176, 0.176, 0.277], [0.389, 0.038, 0.701], [0.611, 0.962, 0.299], [0.824, 0.824, 0.723], [0.962, 0.611, 0.299]]
}